Here is crystalline HoCd4In at its relaxed geometry from the Alexandria database. Energies are from PBE.

Calculated values
Energy relative to the elements, eV/atom: -0.075
Energy relative to the lowest polymorph listed for this composition, eV per formula unit: 0.71
Crystal system: cubic

```
data_HoCd4In
_chemical_formula_sum 'Ho4 Cd16 In4'
_cell_length_a 8.388
_cell_length_b 8.388
_cell_length_c 8.388
_cell_angle_alpha 90.00
_cell_angle_beta 90.00
_cell_angle_gamma 90.00
_space_group_name_H-M_alt 'F -4 3 m'
_space_group_IT_number 216
_space_group_name_Hall 'F -4 2 3'
loop_
_atom_site_label
_atom_site_fract_x
_atom_site_fract_y
_atom_site_fract_z
Ho1 0.000 0.000 0.000
Cd1 0.125 0.125 0.625
In1 0.250 0.250 0.250
```

***

Here is crystalline BeOs2Pt at its relaxed geometry from the Alexandria database. Energies are from PBE.

Calculated values
Energy relative to the elements, eV/atom: 0.259
Crystal system: orthorhombic

```
data_BeOs2Pt
_chemical_formula_sum 'Be1 Os2 Pt1'
_cell_length_a 2.788
_cell_length_b 3.840
_cell_length_c 5.132
_cell_angle_alpha 90.00
_cell_angle_beta 90.00
_cell_angle_gamma 90.00
_space_group_name_H-M_alt 'P m m m'
_space_group_IT_number 47
_space_group_name_Hall '-P 2 2'
loop_
_atom_site_label
_atom_site_fract_x
_atom_site_fract_y
_atom_site_fract_z
Be1 0.000 0.000 0.000
Os1 0.500 0.500 0.233
Pt1 0.000 0.000 0.500
```

***

Calculated total energy values (in eV per atom) by entry order: -1.904; -7.798.